! GGA+U Na3W10O30, relaxed; values from VASP
&SYSTEM
  ibrav = 0, nat = 43, ntyp = 3
/
ATOMIC_SPECIES
O 16.00 O.upf
W 183.84 W.upf
Na 22.99 Na.upf
CELL_PARAMETERS angstrom
5.495 0.000 0.000
0.000 6.734 0.002
0.000 2.239 15.870
ATOMIC_POSITIONS crystal
O 0.753 0.346 0.951
O 0.500 0.802 0.601
O 0.500 0.198 0.399
O 0.500 0.604 0.201
W 0.500 0.599 0.699
O 0.500 0.396 0.799
W 0.000 0.500 0.000
W 0.000 0.896 0.799
O 0.747 0.554 0.349
O 0.250 0.049 0.850
O 0.500 0.000 0.000
O 0.253 0.149 0.552
O 0.747 0.247 0.251
O 0.250 0.951 0.150
O 0.747 0.446 0.651
O 0.747 0.149 0.552
O 0.253 0.753 0.749
W 0.000 0.301 0.599
O 0.747 0.851 0.448
Na 0.500 0.100 0.699
O 0.000 0.500 0.500
W 0.500 0.797 0.100
O 0.000 0.099 0.700
O 0.750 0.951 0.150
O 0.253 0.446 0.651
O 0.750 0.049 0.850
Na 0.000 0.000 0.000
O 0.247 0.654 0.049
O 0.747 0.753 0.749
O 0.253 0.247 0.251
O 0.000 0.297 0.099
O 0.753 0.654 0.049
W 0.000 0.699 0.401
W 0.500 0.000 0.500
O 0.253 0.851 0.448
W 0.500 0.401 0.301
O 0.000 0.703 0.901
O 0.253 0.554 0.349
O 0.247 0.346 0.951
W 0.000 0.104 0.201
W 0.500 0.203 0.900
O 0.000 0.901 0.300
Na 0.500 0.900 0.301
! total magnetization	1.5	μB/cell
! energy	-7.244	eV per atom
! symmetry	P2/m (10)